! CuBi2Pd, relaxed, DFT PBE; values from VASP
&SYSTEM
  ibrav = 0, nat = 4, ntyp = 3
/
ATOMIC_SPECIES
Cu 63.55 Cu.upf
Bi 208.98 Bi.upf
Pd 106.42 Pd.upf
ATOMIC_POSITIONS crystal
Cu 0.5000 0.5000 0.5000
Bi 0.0940 0.0940 0.7179
Bi 0.9060 0.9060 0.2821
Pd 0.0000 0.0000 0.0000
CELL_PARAMETERS angstrom
-0.0203 0.5654 -3.3495
-2.8874 -0.3241 -1.7598
-2.9546 9.2758 -0.1389
! Total magnetic moment (μB/atom): 0.000
! Energy relative to the elements (eV/atom): 0.31